(1)
18
Lattice="-1.018 1.931 3.699 -8.768 -2.192 -3.763 0.271 -11.630 6.145" Properties=species:S:1:pos:R:3 comment="Nd2UCuTe5 GGA-PBE optimized geometry" formation_energy_uncorrected_ev_per_fu=-8.7 pbc="T T T"
Nd -7.248 -9.338 5.372
Nd -1.855 -8.235 3.787
Nd -2.237 -3.875 1.406
Nd -7.696 -2.142 1.493
U -6.078 -5.709 3.800
U -3.568 -0.576 -0.682
Cu -1.575 -10.341 7.457
Cu -7.829 -6.368 1.168
Te -6.635 -0.879 -1.367
Te -3.741 -9.271 6.302
Te -9.060 -10.375 2.921
Te -5.141 -8.550 3.047
Te -8.848 -6.719 3.565
Te -3.017 -5.201 4.378
Te -5.726 -4.733 0.894
Te -0.436 -2.369 3.610
Te -4.416 -1.588 2.107
Te -0.769 -0.850 0.232


(2)
16
Lattice="3.448 0.000 0.000 -1.724 5.882 0.000 0.000 0.000 11.716" Properties=species:S:1:pos:R:3 comment="CaDy2TcN4 GGA-PBE optimized geometry" formation_energy_uncorrected_ev_per_fu=-7.8 pbc="T T T"
Ca 0.000 1.360 8.787
Ca 1.724 4.522 2.929
Dy 0.000 4.345 6.283
Dy 1.724 1.537 0.424
Dy 1.724 1.537 5.434
Dy 0.000 4.345 11.292
Tc 1.724 4.108 8.787
Tc 0.000 1.774 2.929
N 0.000 3.045 1.455
N 1.724 2.836 7.313
N 1.724 2.836 10.261
N 0.000 3.045 4.403
N 0.000 0.000 5.858
N 0.000 0.000 0.000
N 0.000 5.064 8.787
N 1.724 0.817 2.929


(3)
5
Lattice="-0.567 -2.912 -4.053 0.852 -4.685 3.247 -4.935 -0.280 0.891" Properties=species:S:1:pos:R:3 comment="ScGeWBr2 GGA-PBE optimized geometry" formation_energy_uncorrected_ev_per_fu=3.9 pbc="T T T"
Sc 0.000 0.000 0.000
Ge 0.426 -2.343 1.623
Br -2.468 -0.140 0.446
Br -0.283 -1.456 -2.027
W -2.325 -3.939 0.042


(4)
16
Lattice="-7.723 3.205 0.921 -3.273 -7.866 -0.070 6.043 1.934 5.523" Properties=species:S:1:pos:R:3 comment="Er8TlTe4Se3 GGA-PBE optimized geometry" formation_energy_uncorrected_ev_per_fu=-20.8 pbc="T T T"
Er 1.666 -3.023 5.593
Er -1.307 -3.973 2.867
Er 0.209 -0.391 3.113
Er -2.132 -1.447 6.046
Er -2.820 -1.280 0.328
Er -5.162 -2.336 3.261
Er -3.646 1.246 3.508
Er -6.618 0.296 0.781
Tl -1.636 -3.933 -0.035
Te -3.861 1.602 0.461
Te -0.840 2.570 3.222
Te 0.000 0.000 0.000
Te 3.021 0.967 2.762
Se -5.498 -2.331 0.426
Se -2.476 -1.364 3.187
Se 1.385 -2.966 2.726


(5)
11
Lattice="-2.935 -0.736 -4.724 -1.951 -6.904 3.670 -3.867 6.503 2.773" Properties=species:S:1:pos:R:3 comment="Sm8Cu2Te GGA-PBE optimized geometry" formation_energy_uncorrected_ev_per_fu=-1.9 pbc="T T T"
Sm -7.094 -2.622 0.995
Sm -7.561 0.647 0.777
Sm -4.398 -0.464 2.463
Sm -3.888 -3.988 1.089
Sm -4.865 2.852 0.631
Sm -4.355 -0.672 -0.743
Sm -1.192 -1.783 0.943
Sm -1.660 1.487 0.724
Cu -3.273 2.347 3.051
Cu -2.545 -2.747 3.392
Te -1.467 -0.368 -2.362


(6)
4
Lattice="-3.144 3.968 -1.199 -0.712 0.609 -5.117 -0.322 -4.039 3.262" Properties=species:S:1:pos:R:3 comment="CaMgIr2 GGA-PBE optimized geometry" e_form_ev_per_atom=0.0237 pbc="T T T"
Ca -2.697 1.108 -0.547
Ir 0.000 0.000 0.000
Ir -1.481 -0.571 -2.506
Mg -1.928 2.288 -3.158


(7)
10
Lattice="5.424 0.000 0.000 0.000 5.424 0.000 0.000 0.000 6.017" Properties=species:S:1:pos:R:3 comment="Ge4Rh GGA-PBE optimized geometry" e_form_ev_per_atom=-0.0109 pbc="T T T"
Ge 0.672 1.389 2.141
Ge 4.752 4.035 2.141
Ge 1.389 4.752 3.876
Ge 4.035 0.672 3.876
Ge 2.040 4.100 0.868
Ge 3.383 1.323 0.868
Ge 1.323 2.040 5.149
Ge 4.100 3.383 5.149
Rh 0.000 0.000 0.000
Rh 2.712 2.712 3.008


(8)
12
Lattice="-1.899 4.816 -0.028 -6.029 0.447 7.134 2.889 3.942 3.442" Properties=species:S:1:pos:R:3 comment="Er4InPd7 GGA-PBE optimized geometry" e_form_ev_per_atom=-0.7163 pbc="T T T"
Er -0.680 5.318 3.591
Er -4.359 3.887 6.957
Er -3.051 7.187 7.228
Er -1.988 2.018 3.319
In 0.000 0.000 0.000
Pd -5.488 6.231 8.225
Pd 0.450 2.973 2.322
Pd -3.823 1.307 5.455
Pd -1.215 7.898 5.093
Pd -1.692 4.935 6.273
Pd -0.949 2.408 -0.014
Pd -3.347 4.270 4.274


(9)
4
Lattice="-1.244 2.466 1.977 -3.320 0.713 -0.061 -3.312 -6.563 9.019" Properties=species:S:1:pos:R:3 comment="TbTh2V GGA-PBE optimized geometry" e_form_ev_per_atom=0.6239 pbc="T T T"
Tb -3.938 -1.692 5.468
Th -2.891 -4.770 7.048
Th -4.985 1.387 3.887
V 0.000 0.000 0.000


(10)
4
Lattice="5.230 0.000 0.000 2.615 4.530 0.000 2.615 1.510 4.271" Properties=species:S:1:pos:R:3 comment="CaLuAlIn GGA-PBE optimized geometry" e_form_ev_per_atom=-0.3153 pbc="T T T"
Ca 5.230 3.020 2.135
Lu 0.000 0.000 0.000
Al 7.846 4.530 3.203
In 2.615 1.510 1.068


(11)
4
Lattice="4.251 0.000 0.000 2.125 3.681 0.000 2.125 1.227 3.471" Properties=species:S:1:pos:R:3 comment="ScAlFeNi GGA-PBE optimized geometry" e_form_ev_per_atom=-0.4055 pbc="T T T"
Sc 4.251 2.454 1.735
Ni 2.125 1.227 0.868
Fe 6.376 3.681 2.603
Al 0.000 0.000 0.000


(12)
24
Lattice="7.097 0.000 0.000 0.000 6.750 0.016 0.000 4.919 6.629" Properties=species:S:1:pos:R:3 comment="GdAsO4 GGA-PBE optimized geometry" formation_energy_uncorrected_ev_per_fu=-13.8 pbc="T T T"
Gd 6.061 9.275 5.180
Gd 2.513 4.853 4.779
Gd 4.584 6.816 1.865
Gd 1.036 2.394 1.465
As 5.966 6.033 5.318
As 2.418 8.095 4.641
As 4.679 3.573 2.004
As 1.131 5.636 1.326
O 6.377 7.226 6.495
O 4.621 5.168 5.952
O 2.060 6.996 5.914
O 3.594 9.315 4.930
O 5.609 7.132 4.045
O 0.046 4.813 5.029
O 1.073 8.960 4.007
O 2.829 6.902 3.464
O 4.267 4.766 3.181
O 6.024 2.708 2.637
O 7.051 6.855 1.615
O 1.488 4.537 2.600
O 3.502 2.354 1.715
O 5.036 4.672 0.731
O 2.476 6.501 0.693
O 0.719 4.443 0.149